KMn3Tl4F12 | PBE+U | relaxed

abc: 7.628 7.628 7.628
angles: 109.47 109.47 109.47
Fractional coordinates of all 20 atoms:
K 0.000 0.000 0.000
Mn 0.000 0.500 0.500
Mn 0.500 0.000 0.500
Mn 0.500 0.500 0.000
Tl 0.000 0.000 0.500
Tl 0.000 0.500 0.000
Tl 0.500 0.000 0.000
Tl 0.500 0.500 0.500
F 0.000 0.279 0.279
F 0.000 0.721 0.721
F 0.250 0.500 0.750
F 0.250 0.750 0.500
F 0.279 0.000 0.279
F 0.279 0.279 0.000
F 0.500 0.250 0.750
F 0.500 0.750 0.250
F 0.721 0.000 0.721
F 0.721 0.721 0.000
F 0.750 0.250 0.500
F 0.750 0.500 0.250

Results
E_tot ... -5.070 eV/atom
Space group ... Im-3m
Volume ... 341.7 Å³ per cell